Record 1
An optimized crystal structure of Ca2MgCuN. Source: Alexandria via LeMat-Bulk, functional PBE.

Cell and atoms, written as CIF:
```
data_Ca2MgCuN
_chemical_formula_sum 'Ca2 Mg1 Cu1 N1'
_symmetry_space_group_name_H-M 'P 4/m m m'
_symmetry_Int_Tables_number 123
_symmetry_space_group_name_Hall '-P 4 2'
_cell_length_a 4.8847
_cell_length_b 4.8847
_cell_length_c 4.2116
_cell_angle_alpha 90.00
_cell_angle_beta 90.00
_cell_angle_gamma 90.00
loop_
_atom_site_label
_atom_site_type_symbol
_atom_site_fract_x
_atom_site_fract_y
_atom_site_fract_z
Ca1 Ca 0.0000 0.5000 0.0000
Mg1 Mg 0.0000 0.0000 0.5000
Cu1 Cu 0.5000 0.5000 0.5000
N1 N 0.0000 0.0000 0.0000
```

* volume: 20.1 Å³/atom
* magnetization: 0.00 μB per formula unit
* VASP energy: -3.98 eV per atom
* raw formation energy: -376 meV per atom

Record 2
An optimized crystal structure of Na2PrBr6. Source: Alexandria via LeMat-Bulk, functional PBE.

Cell and atoms, written as CIF:
```
data_Na2PrBr6
_chemical_formula_sum 'Na4 Pr2 Br12'
_symmetry_space_group_name_H-M 'C 1 2/m 1'
_symmetry_Int_Tables_number 12
_cell_length_a 12.4553
_cell_length_b 4.5289
_cell_length_c 13.0890
_cell_angle_alpha 90.00
_cell_angle_beta 117.94
_cell_angle_gamma 90.00
loop_
_symmetry_equiv_pos_as_xyz
'x,y,z'
'-x,-y,-z'
'-x,y,-z'
'x,-y,z'
'x+1/2,y+1/2,z'
'-x+1/2,-y+1/2,-z'
'-x+1/2,y+1/2,-z'
'x+1/2,-y+1/2,z'
loop_
_atom_site_label
_atom_site_type_symbol
_atom_site_fract_x
_atom_site_fract_y
_atom_site_fract_z
Na1 Na 0.1975 0.0000 0.3419
Pr1 Pr 0.0000 0.5000 0.0000
Br1 Br 0.0289 0.5000 0.2322
Br2 Br 0.1313 0.0000 0.5425
Br3 Br 0.1756 0.0000 0.0777
```

* volume: 36.2 Å³/atom
* magnetization: 1.02 μB per formula unit
* VASP energy: -3.37 eV per atom
* raw formation energy: -1431 meV per atom

Record 3
An optimized crystal structure of AlHgMo2. Source: Alexandria via LeMat-Bulk, functional PBE.

Cell and atoms, written as CIF:
```
data_AlHgMo2
_chemical_formula_sum 'Al1 Hg1 Mo2'
_symmetry_space_group_name_H-M 'P m m m'
_symmetry_Int_Tables_number 47
_cell_length_a 3.4068
_cell_length_b 4.3272
_cell_length_c 4.5271
_cell_angle_alpha 90.00
_cell_angle_beta 90.00
_cell_angle_gamma 90.00
loop_
_symmetry_equiv_pos_as_xyz
'x,y,z'
'-x,-y,-z'
'-x,-y,z'
'x,y,-z'
'x,-y,-z'
'-x,y,z'
'-x,y,-z'
'x,-y,z'
loop_
_atom_site_label
_atom_site_type_symbol
_atom_site_fract_x
_atom_site_fract_y
_atom_site_fract_z
Al1 Al 0.0000 0.0000 0.0000
Hg1 Hg 0.5000 0.5000 0.0000
Mo1 Mo 0.0000 0.5000 0.5000
Mo2 Mo 0.5000 0.0000 0.5000
```

* volume: 16.7 Å³/atom
* DFT formation energy: 282.2 meV/atom
* magnetization: 0.00 μB per formula unit
* VASP energy: -6.14 eV per atom
* offset from the most stable computed form: 132 meV/atom

Record 4
An optimized crystal structure of Ba8In2Pd. Source: Alexandria via LeMat-Bulk, functional PBE.

Cell and atoms, written as CIF:
```
data_Ba8In2Pd
_chemical_formula_sum 'Ba16 In4 Pd2'
_symmetry_space_group_name_H-M 'C 1 2/m 1'
_symmetry_Int_Tables_number 12
_cell_length_a 21.1854
_cell_length_b 6.0131
_cell_length_c 8.1467
_cell_angle_alpha 90.00
_cell_angle_beta 107.25
_cell_angle_gamma 90.00
loop_
_symmetry_equiv_pos_as_xyz
'x,y,z'
'-x,-y,-z'
'-x,y,-z'
'x,-y,z'
'x+1/2,y+1/2,z'
'-x+1/2,-y+1/2,-z'
'-x+1/2,y+1/2,-z'
'x+1/2,-y+1/2,z'
loop_
_atom_site_label
_atom_site_type_symbol
_atom_site_fract_x
_atom_site_fract_y
_atom_site_fract_z
Ba1 Ba 0.0277 0.0000 0.2980
Ba2 Ba 0.0947 0.5000 0.9183
Ba3 Ba 0.1547 0.5000 0.4549
Ba4 Ba 0.2102 0.0000 0.7959
In1 In 0.1828 0.0000 0.2089
Pd1 Pd 0.0000 0.5000 0.5000
```

* volume: 45.1 Å³/atom
* DFT formation energy: -253.2 meV/atom
* magnetization: 0.00 μB per formula unit
* VASP energy: -2.62 eV per atom
* offset from the most stable computed form: 0 meV/atom

Record 5
An optimized crystal structure of AlCu2Au2. Source: Alexandria via LeMat-Bulk, functional PBE.

Cell and atoms, written as CIF:
```
data_AlCu2Au2
_chemical_formula_sum 'Al2 Cu4 Au4'
_symmetry_space_group_name_H-M 'P 4/m b m'
_symmetry_Int_Tables_number 127
_symmetry_space_group_name_Hall '-P 4 2ab'
_cell_length_a 6.5365
_cell_length_b 6.5365
_cell_length_c 3.6340
_cell_angle_alpha 90.00
_cell_angle_beta 90.00
_cell_angle_gamma 90.00
loop_
_atom_site_label
_atom_site_type_symbol
_atom_site_fract_x
_atom_site_fract_y
_atom_site_fract_z
Al1 Al 0.0000 0.0000 0.0000
Cu1 Cu 0.1336 0.3664 0.0000
Au1 Au 0.1676 0.6676 0.5000
```

* volume: 15.5 Å³/atom
* DFT formation energy: -87.8 meV/atom
* magnetization: 0.00 μB per formula unit
* VASP energy: -3.79 eV per atom
* offset from the most stable computed form: 116 meV/atom

Record 6
An optimized crystal structure of BeO2F2. Source: Alexandria via LeMat-Bulk, functional PBE.

Cell and atoms, written as CIF:
```
data_BeO2F2
_chemical_formula_sum 'Be1 O2 F2'
_symmetry_space_group_name_H-M 'P 4/m m m'
_symmetry_Int_Tables_number 123
_symmetry_space_group_name_Hall '-P 4 2'
_cell_length_a 3.8046
_cell_length_b 3.8046
_cell_length_c 3.2079
_cell_angle_alpha 90.00
_cell_angle_beta 90.00
_cell_angle_gamma 90.00
loop_
_atom_site_label
_atom_site_type_symbol
_atom_site_fract_x
_atom_site_fract_y
_atom_site_fract_z
Be1 Be 0.0000 0.0000 0.0000
O1 O 0.0000 0.5000 0.0000
F1 F 0.0000 0.0000 0.5000
F2 F 0.5000 0.5000 0.5000
```

* volume: 9.3 Å³/atom
* magnetization: 4.00 μB per formula unit
* VASP energy: -4.05 eV per atom
* offset from the most stable computed form: 110 meV/atom
* raw formation energy: -574 meV per atom

Record 7
An optimized crystal structure of YSiSn2Mo. Source: Alexandria via LeMat-Bulk, functional PBE.

Cell and atoms, written as CIF:
```
data_YSiSn2Mo
_chemical_formula_sum 'Y1 Si1 Sn2 Mo1'
_symmetry_space_group_name_H-M 'P 4/m m m'
_symmetry_Int_Tables_number 123
_symmetry_space_group_name_Hall '-P 4 2'
_cell_length_a 5.6909
_cell_length_b 5.6909
_cell_length_c 4.9565
_cell_angle_alpha 90.00
_cell_angle_beta 90.00
_cell_angle_gamma 90.00
loop_
_atom_site_label
_atom_site_type_symbol
_atom_site_fract_x
_atom_site_fract_y
_atom_site_fract_z
Y1 Y 0.0000 0.0000 0.0000
Si1 Si 0.5000 0.5000 0.5000
Sn1 Sn 0.0000 0.5000 0.0000
Mo1 Mo 0.0000 0.0000 0.5000
```

* volume: 32.1 Å³/atom
* magnetization: 2.06 μB per formula unit
* VASP energy: -4.56 eV per atom
* raw formation energy: 1587 meV per atom

Record 8
An optimized crystal structure of YHo5Tm2Th. Source: Alexandria via LeMat-Bulk, functional PBE.

Cell and atoms, written as CIF:
```
data_YHo5Tm2Th
_chemical_formula_sum 'Y4 Ho20 Tm8 Th4'
_symmetry_space_group_name_H-M 'C m c 21'
_symmetry_Int_Tables_number 36
_cell_length_a 5.6592
_cell_length_b 21.3631
_cell_length_c 9.6410
_cell_angle_alpha 90.00
_cell_angle_beta 90.00
_cell_angle_gamma 90.00
loop_
_symmetry_equiv_pos_as_xyz
'x,y,z'
'-x,-y,z+1/2'
'-x,y,z'
'x,-y,z+1/2'
'x+1/2,y+1/2,z'
'-x+1/2,-y+1/2,z+1/2'
'-x+1/2,y+1/2,z'
'x+1/2,-y+1/2,z+1/2'
loop_
_atom_site_label
_atom_site_type_symbol
_atom_site_fract_x
_atom_site_fract_y
_atom_site_fract_z
Y1 Y 0.0000 0.1902 0.0000
Ho1 Ho 0.0000 0.0142 0.9988
Ho2 Ho 0.0000 0.2718 0.6947
Ho3 Ho 0.0000 0.3045 0.2995
Ho4 Ho 0.0000 0.3984 0.9761
Ho5 Ho 0.0000 0.4683 0.2754
Tm1 Tm 0.0000 0.1158 0.6870
Tm2 Tm 0.0000 0.1293 0.3066
Th1 Th 0.0000 0.4057 0.5959
```

* volume: 32.4 Å³/atom
* DFT formation energy: 165.8 meV/atom
* magnetization: 0.00 μB per formula unit
* VASP energy: -4.91 eV per atom

Record 9
An optimized crystal structure of PrEu2H. Source: Alexandria via LeMat-Bulk, functional PBE.

Cell and atoms, written as CIF:
```
data_PrEu2H
_chemical_formula_sum 'Pr3 Eu6 H3'
_symmetry_space_group_name_H-M 'R -3 m'
_symmetry_Int_Tables_number 166
_symmetry_space_group_name_Hall '-R 3 2"'
_cell_length_a 3.7450
_cell_length_b 3.7450
_cell_length_c 28.0118
_cell_angle_alpha 90.00
_cell_angle_beta 90.00
_cell_angle_gamma 120.00
loop_
_atom_site_label
_atom_site_type_symbol
_atom_site_fract_x
_atom_site_fract_y
_atom_site_fract_z
Pr1 Pr 0.0000 0.0000 0.0000
Eu1 Eu 0.0000 0.0000 0.2198
H1 H 0.0000 0.0000 0.5000
```

* volume: 28.4 Å³/atom
* magnetization: 14.90 μB per formula unit
* VASP energy: -7.33 eV per atom

Record 10
An optimized crystal structure of Mn2Ni2W. Source: Alexandria via LeMat-Bulk, functional PBE.

Cell and atoms, written as CIF:
```
data_Mn2Ni2W
_chemical_formula_sum 'Mn4 Ni4 W2'
_symmetry_space_group_name_H-M 'I 4/m m m'
_symmetry_Int_Tables_number 139
_symmetry_space_group_name_Hall '-I 4 2'
_cell_length_a 3.2841
_cell_length_b 3.2841
_cell_length_c 11.4189
_cell_angle_alpha 90.00
_cell_angle_beta 90.00
_cell_angle_gamma 90.00
loop_
_atom_site_label
_atom_site_type_symbol
_atom_site_fract_x
_atom_site_fract_y
_atom_site_fract_z
Mn1 Mn 0.0000 0.5000 0.2500
Ni1 Ni 0.0000 0.0000 0.0990
W1 W 0.0000 0.0000 0.5000
```

* volume: 12.3 Å³/atom
* DFT formation energy: 374.7 meV/atom
* magnetization: 0.34 μB per formula unit
* VASP energy: -8.20 eV per atom
* offset from the most stable computed form: 152 meV/atom

Record 11
An optimized crystal structure of Pr3Ga2CuAu6. Source: Alexandria via LeMat-Bulk, functional PBE.

Cell and atoms, written as CIF:
```
data_Pr3Ga2CuAu6
_chemical_formula_sum 'Pr3 Ga2 Cu1 Au6'
_symmetry_space_group_name_H-M 'P -3 m 1'
_symmetry_Int_Tables_number 164
_symmetry_space_group_name_Hall '-P 3 2"'
_cell_length_a 6.1972
_cell_length_b 6.1972
_cell_length_c 8.3663
_cell_angle_alpha 90.00
_cell_angle_beta 90.00
_cell_angle_gamma 120.00
loop_
_atom_site_label
_atom_site_type_symbol
_atom_site_fract_x
_atom_site_fract_y
_atom_site_fract_z
Pr1 Pr 0.0000 0.0000 0.0000
Pr2 Pr 0.3333 0.6667 0.6357
Ga1 Ga 0.3333 0.6667 0.0231
Cu1 Cu 0.0000 0.0000 0.5000
Au1 Au 0.1772 0.3544 0.2862
```

* volume: 23.2 Å³/atom
* DFT formation energy: -454.9 meV/atom
* magnetization: 0.00 μB per formula unit
* VASP energy: -4.13 eV per atom

Record 12
An optimized crystal structure of CrRu2Pb. Source: Alexandria via LeMat-Bulk, functional PBE.

Cell and atoms, written as CIF:
```
data_CrRu2Pb
_chemical_formula_sum 'Cr1 Ru2 Pb1'
_symmetry_space_group_name_H-M 'P 1 2/m 1'
_symmetry_Int_Tables_number 10
_cell_length_a 3.0181
_cell_length_b 2.9813
_cell_length_c 7.3345
_cell_angle_alpha 90.00
_cell_angle_beta 96.92
_cell_angle_gamma 90.00
loop_
_symmetry_equiv_pos_as_xyz
'x,y,z'
'-x,-y,-z'
'-x,y,-z'
'x,-y,z'
loop_
_atom_site_label
_atom_site_type_symbol
_atom_site_fract_x
_atom_site_fract_y
_atom_site_fract_z
Cr1 Cr 0.0000 0.0000 0.0000
Ru1 Ru 0.4268 0.5000 0.8015
Pb1 Pb 0.0000 0.0000 0.5000
```

* volume: 16.4 Å³/atom
* DFT formation energy: 376.3 meV/atom
* magnetization: 1.16 μB per formula unit
* VASP energy: -7.59 eV per atom